Entry 1:
Below is a geometry-optimized NaLaMgSn structure, with properties calculated at the PBE level.

The structure in extended XYZ format:
```
4
Lattice="0.000 3.851 3.851 3.851 0.000 3.851 3.851 3.851 0.000" Properties=species:S:1:pos:R:3 pbc="T T T"
Na 0.000 0.000 0.000
La 3.851 3.851 3.851
Mg 1.925 1.925 1.925
Sn 5.776 5.776 5.776
```

## Properties
Its uncorrected energy is -3.2566 eV per atom. The value obtained for the energy of formation from the pure elements is -0.30 eV/atom.

Entry 2:
Below is a geometry-optimized MoOsS structure, with properties calculated at the PBE level.

The structure in extended XYZ format:
```
3
Lattice="1.459 0.843 6.153 -1.459 0.843 6.153 0.000 -1.685 6.153" Properties=species:S:1:pos:R:3 pbc="T T T"
Mo 0.000 0.000 0.000
Os 0.000 0.000 8.307
S 0.000 0.000 10.616
```

## Properties
Its uncorrected energy is -8.7652 eV per atom. The value obtained for the energy above the most stable polymorph in this dataset is 81 meV per atom. The value obtained for the uncorrected formation energy is -0.036 eV per atom.

Entry 3:
Below is a geometry-optimized NaSr4Tl15 structure, with properties calculated at the PBE level.

The structure in extended XYZ format:
```
20
Lattice="4.962 0.000 0.000 0.000 4.962 0.000 0.000 0.000 24.894" Properties=species:S:1:pos:R:3 pbc="T T T"
Na 0.000 0.000 0.000
Sr 0.000 0.000 4.883
Sr 0.000 0.000 9.932
Sr 0.000 0.000 14.962
Sr 0.000 0.000 20.012
Tl 0.000 2.481 2.361
Tl 0.000 2.481 7.413
Tl 0.000 2.481 12.447
Tl 0.000 2.481 17.482
Tl 0.000 2.481 22.534
Tl 2.481 0.000 2.361
Tl 2.481 0.000 7.413
Tl 2.481 0.000 12.447
Tl 2.481 0.000 17.482
Tl 2.481 0.000 22.534
Tl 2.481 2.481 0.000
Tl 2.481 2.481 4.935
Tl 2.481 2.481 9.912
Tl 2.481 2.481 14.982
Tl 2.481 2.481 19.959
```

## Properties
Its uncorrected energy is -2.3899 eV per atom. The value obtained for the energy of formation from the pure elements is -0.21 eV/atom.

Entry 4:
Below is a geometry-optimized YMgRuPt structure, with properties calculated at the PBE level.

The structure in extended XYZ format:
```
4
Lattice="0.000 3.309 3.309 3.309 0.000 3.309 3.309 3.309 0.000" Properties=species:S:1:pos:R:3 pbc="T T T"
Y 0.000 0.000 0.000
Mg 3.309 3.309 3.309
Ru 4.964 4.964 4.964
Pt 1.655 1.655 1.655
```

## Properties
Its uncorrected energy is -6.3915 eV per atom. The value obtained for the energy of formation from the pure elements is -0.55 eV/atom.

Entry 5:
Below is a geometry-optimized NaFe2Rh2 structure, with properties calculated at the PBE level.

The structure in extended XYZ format:
```
10
Lattice="7.514 0.000 0.000 0.000 7.514 0.000 0.000 0.000 2.702" Properties=species:S:1:pos:R:3 pbc="T T T"
Na 0.000 0.000 0.000
Na 3.757 3.757 0.000
Fe 1.162 2.595 1.351
Fe 2.595 6.352 1.351
Fe 4.920 1.162 1.351
Fe 6.352 4.920 1.351
Rh 1.040 4.797 0.000
Rh 2.717 1.040 0.000
Rh 4.797 6.474 0.000
Rh 6.474 2.717 0.000
```

## Properties
Its uncorrected energy is -6.4386 eV per atom. The value obtained for the energy above the most stable polymorph in this dataset is 5 meV per atom. The value obtained for the energy of formation from the pure elements is 0.15 eV/atom.

Entry 6:
Below is a geometry-optimized SiSbC structure, with properties calculated at the PBE level.

The structure in extended XYZ format:
```
6
Lattice="2.752 -1.578 0.000 2.752 1.578 0.000 -2.015 0.000 11.458" Properties=species:S:1:pos:R:3 pbc="T T T"
Si 0.000 0.000 0.000
Si 3.673 0.000 2.523
Sb -0.182 0.000 8.640
Sb 3.670 0.000 5.172
C 0.002 0.000 1.920
C -0.184 0.000 10.885
```

## Properties
Its uncorrected energy is -6.1958 eV per atom. The value obtained for the energy above the most stable polymorph in this dataset is 0 meV per atom. The value obtained for the uncorrected formation energy is 0.061 eV per atom.

Entry 7:
Below is a geometry-optimized TaSiP2 structure, with properties calculated at the PBE level.

The structure in extended XYZ format:
```
4
Lattice="2.714 -3.409 0.000 2.714 3.409 0.000 0.000 0.000 3.158" Properties=species:S:1:pos:R:3 pbc="T T T"
Ta 0.000 0.000 0.000
Si 2.714 0.000 0.000
P 1.357 1.704 1.579
P 1.357 -1.704 1.579
```

## Properties
Its uncorrected energy is -6.9597 eV per atom. The value obtained for the uncorrected formation energy is 0.064 eV per atom.

Entry 8:
Below is a geometry-optimized YHSCl2 structure, with properties calculated at the PBE level.

The structure in extended XYZ format:
```
5
Lattice="5.315 0.000 0.000 0.000 5.315 0.000 0.000 0.000 5.402" Properties=species:S:1:pos:R:3 pbc="T T T"
Y 0.000 0.000 0.000
H 2.658 2.658 2.701
S 0.000 0.000 2.701
Cl 0.000 2.658 0.000
Cl 2.658 0.000 0.000
```

## Properties
Its uncorrected energy is -4.2813 eV per atom. The value obtained for the energy above the most stable polymorph in this dataset is 0 meV per atom.

> The lowest uncorrected energy belongs to which entry?

MoOsS

> What is the uncorrected energy in the seventh record?

-6.9597 eV per atom

> Look up the uncorrected energy of the second one.

-8.7652 eV per atom